GdHoNi2P2 | PBE | relaxed

- V: 102 Å³ per cell

Unit cell a=3.8980 b=3.8980 c=7.7255 alpha=90.00 beta=90.00 gamma=120.00
Space group P-3m1 (No. 164)
Asymmetric unit:
Gd  0.0000  0.0000  0.0000 (multiplicity 1)
Ho  0.0000  0.0000  0.5000 (multiplicity 1)
Ni  0.3333  0.6667  0.2533 (multiplicity 2)
P  0.3333  0.6667  0.7460 (multiplicity 2)

=====

GdHo2NiSn3Pd2 | PBE | relaxed

- V: 382 Å³ per cell

Unit cell a=3.886 b=13.069 c=7.525 alpha=90.00 beta=90.00 gamma=90.00
Space group Amm2 (No. 38)
Asymmetric unit:
Gd  0.000  0.000  0.000 (multiplicity 2)
Ho  0.000  0.201  0.397 (multiplicity 4)
Ni  0.000  0.000  0.596 (multiplicity 2)
Sn  0.500  0.000  0.348 (multiplicity 2)
Sn  0.500  0.125  0.722 (multiplicity 4)
Pd  0.500  0.168  0.098 (multiplicity 4)

=====

Gd2HoNiSn3Pt2 | PBE | relaxed

- V: 386 Å³ per cell

Unit cell a=3.940 b=13.013 c=7.532 alpha=90.00 beta=90.00 gamma=90.00
Space group Amm2 (No. 38)
Asymmetric unit:
Gd  0.000  0.203  0.000 (multiplicity 4)
Ho  0.000  0.000  0.391 (multiplicity 2)
Ni  0.000  0.000  0.795 (multiplicity 2)
Sn  0.500  0.000  0.044 (multiplicity 2)
Sn  0.500  0.124  0.672 (multiplicity 4)
Pt  0.500  0.165  0.298 (multiplicity 4)

=====

GdHoSi4Ni2 | PBE | relaxed

- V: 262 Å³ per cell

Unit cell a=3.987 b=4.016 c=16.367 alpha=90.00 beta=90.00 gamma=90.00
Space group Amm2 (No. 38)
Asymmetric unit:
Gd  0.000  0.000  0.000 (multiplicity 2)
Ho  0.500  0.000  0.789 (multiplicity 2)
Si  0.000  0.000  0.354 (multiplicity 2)
Si  0.000  0.000  0.645 (multiplicity 2)
Si  0.500  0.000  0.145 (multiplicity 2)
Si  0.500  0.000  0.434 (multiplicity 2)
Ni  0.000  0.000  0.216 (multiplicity 2)
Ni  0.500  0.000  0.573 (multiplicity 2)

=====

Calculated density (g/cm3), listed in the same order as above: 8.19, 9.69, 11.04, 6.99
Calculated energy (eV per cell), listed in the same order as above: -38.518, -99.162, -104.833, -97.558